A plane-wave DFT calculation with PBE-GGA was carried out for crystalline Ca5CeRh6 at its relaxed geometry.

Cell lengths 7.6193, 7.6193, 6.9030 Å; angles 90.00, 90.00, 142.58 degrees
Last column: nearest neighbours and their distance in Å.
Sites, in units of the cell vectors:
Ca 0.0000 0.0000 0.0000  8 Rh 2.88-3.06
Ca 0.3275 0.6725 0.5000  8 Rh 2.94-2.98
Ca 0.3324 0.6676 0.0000  8 Rh 3.04-3.16
Ca 0.6676 0.3324 0.0000  8 Rh 3.04-3.16
Ca 0.6725 0.3275 0.5000  8 Rh 2.94-2.98
Ce 0.0000 0.0000 0.5000  8 Rh 2.75-2.92
Rh 0.1540 0.8460 0.2658  1 Ce 2.75, 6 Ca 2.88-3.06
Rh 0.1540 0.8460 0.7342  1 Ce 2.75, 6 Ca 2.88-3.06
Rh 0.5000 0.5000 0.2677  2 Ce 2.92, 6 Ca 2.96-3.06, 1 Rh 3.21
Rh 0.5000 0.5000 0.7323  2 Ce 2.92, 6 Ca 2.96-3.06, 1 Rh 3.21
Rh 0.8460 0.1540 0.2658  1 Ce 2.75, 6 Ca 2.88-3.06
Rh 0.8460 0.1540 0.7342  1 Ce 2.75, 6 Ca 2.88-3.06

Output
The calculated formation energy comes out at -0.45 eV per atom. As for the symmetry: Cmmm (65). For the magnetization, the calculation gives 0.00 Bohr magnetons per cell. The calculation puts the total DFT energy (no corrections) at -5.458 eV/atom.

***

A plane-wave DFT calculation with PBE-GGA was carried out for crystalline CaCeRh2 at its relaxed geometry.

Cell lengths 3.5040, 3.5040, 6.8314 Å; angles 90.00, 90.00, 90.00 degrees
Last column: nearest neighbours and their distance in Å.
Sites, in units of the cell vectors:
Ca 0.0000 0.0000 0.0000  8 Rh 3.14, 2 Ce 3.42, 4 Ca 3.50
Ce 0.0000 0.0000 0.5000  8 Rh 2.89
Rh 0.5000 0.5000 0.2821  4 Ce 2.89, 1 Rh 2.98, 4 Ca 3.14
Rh 0.5000 0.5000 0.7179  4 Ce 2.89, 1 Rh 2.98, 4 Ca 3.14

Output
The calculated formation energy comes out at -0.62 eV per atom. As for the symmetry: P4/mmm (123). For the magnetization, the calculation gives 0.00 Bohr magnetons per cell. The calculation puts the total DFT energy (no corrections) at -6.280 eV/atom.

***

A plane-wave DFT calculation with PBE-GGA was carried out for crystalline Ca2Ce2Rh3 at its relaxed geometry.

Cell lengths 8.7476, 8.7476, 8.7476 Å; angles 31.82, 31.82, 31.82 degrees
Last column: nearest neighbours and their distance in Å.
Sites, in units of the cell vectors:
Ca 0.1279 0.1279 0.1279  5 Rh 3.09-3.31, 3 Ca 3.38, 3 Ce 3.47
Ca 0.8721 0.8721 0.8721  5 Rh 3.09-3.31, 3 Ca 3.38, 3 Ce 3.47
Ce 0.3775 0.3775 0.3775  7 Rh 2.86-2.98
Ce 0.6225 0.6225 0.6225  7 Rh 2.86-2.98
Rh 0.0000 0.0000 0.0000  6 Ce 2.98, 2 Ca 3.18, 6 Rh 3.30
Rh 0.2610 0.2610 0.2610  4 Ce 2.86-2.90, 3 Ca 3.09
Rh 0.7390 0.7390 0.7390  4 Ce 2.86-2.90, 3 Ca 3.09

Output
The calculated formation energy comes out at -0.57 eV per atom. As for the symmetry: R-3m (166). For the magnetization, the calculation gives 0.51 Bohr magnetons per cell. The calculation puts the total DFT energy (no corrections) at -5.989 eV/atom.

***

A plane-wave DFT calculation with PBE-GGA was carried out for crystalline CaCeRh at its relaxed geometry.

Cell lengths 3.7398, 6.7973, 7.0135 Å; angles 77.20, 84.64, 84.95 degrees
Last column: nearest neighbours and their distance in Å.
Sites, in units of the cell vectors:
Ca 0.0000 0.0000 0.0000  3 Rh 2.96-3.08
Ca 0.4076 0.4976 0.7810  2 Rh 3.12-3.15
Ce 0.8148 0.9919 0.5053  3 Rh 2.71-2.80
Ce 0.9130 0.4957 0.2844  4 Rh 2.62-2.88
Rh 0.3949 0.7663 0.3577  4 Ce 2.65-2.84
Rh 0.4174 0.2257 0.2080  3 Ce 2.62-2.88

Output
Its distance to the lowest polymorph of the same formula is 0.095 eV/atom. The calculated formation energy comes out at -0.39 eV per atom. As for the symmetry: P1 (1). For the magnetization, the calculation gives 1.67 Bohr magnetons per cell. The calculation puts the total DFT energy (no corrections) at -5.487 eV/atom.

***

A plane-wave DFT calculation with PBE-GGA was carried out for crystalline Ca2CeRh9 at its relaxed geometry.

Cell lengths 9.3152, 9.3152, 9.3152 Å; angles 32.90, 32.90, 32.90 degrees
Last column: nearest neighbours and their distance in Å.
Sites, in units of the cell vectors:
Ca 0.1411 0.1411 0.1411  12 Rh 3.07-3.29, 3 Ca 3.33
Ca 0.8589 0.8589 0.8589  12 Rh 3.07-3.29, 3 Ca 3.33
Ce 0.0000 0.0000 0.0000  18 Rh 3.05-3.41
Rh 0.0830 0.5812 0.5812  7 Rh 2.63-2.71
Rh 0.3330 0.3330 0.3330  6 Rh 2.64-2.65
Rh 0.4188 0.4188 0.9170  7 Rh 2.63-2.71
Rh 0.4188 0.9170 0.4188  7 Rh 2.63-2.71
Rh 0.5000 0.5000 0.5000  6 Rh 2.71
Rh 0.5812 0.0830 0.5812  7 Rh 2.63-2.71
Rh 0.5812 0.5812 0.0830  7 Rh 2.63-2.71
Rh 0.6670 0.6670 0.6670  6 Rh 2.64-2.65
Rh 0.9170 0.4188 0.4188  7 Rh 2.63-2.71

Output
The calculated formation energy comes out at -0.39 eV per atom. As for the symmetry: R-3m (166). For the magnetization, the calculation gives 0.00 Bohr magnetons per cell. The calculation puts the total DFT energy (no corrections) at -6.732 eV/atom.

***

A plane-wave DFT calculation with PBE-GGA was carried out for crystalline CaCeRh at its relaxed geometry.

Cell lengths 3.5193, 3.5202, 12.0298 Å; angles 89.95, 89.92, 89.97 degrees
Last column: nearest neighbours and their distance in Å.
Sites, in units of the cell vectors:
Ca 0.2491 0.2502 0.1323  4 Rh 3.19-3.20, 1 Ce 3.39, 4 Ca 3.52
Ca 0.7509 0.7498 0.8677  4 Rh 3.19-3.20, 1 Ce 3.39, 4 Ca 3.52
Ce 0.2502 0.2503 0.4138  4 Rh 2.85
Ce 0.7498 0.7497 0.5862  4 Rh 2.85
Rh 0.2502 0.2494 0.7018  4 Ce 2.85, 2 Ca 3.19
Rh 0.7498 0.7506 0.2982  4 Ce 2.85, 2 Ca 3.19

Output
Its distance to the lowest polymorph of the same formula is 0.000 eV/atom. The calculated formation energy comes out at -0.49 eV per atom. As for the symmetry: P-1 (2). For the magnetization, the calculation gives 0.00 Bohr magnetons per cell. The calculation puts the total DFT energy (no corrections) at -5.582 eV/atom.

***

Among the records above, which one has the highest magnetization?
number 4

***

magnetization of number 4 (CaCeRh)?
1.67 Bohr magnetons per cell

***

magnetization of number 4 (CaCeRh)?
1.67 Bohr magnetons per cell

***

magnetization of number 1 (Ca5CeRh6)?
0.00 Bohr magnetons per cell